{
  "formula": "Tm2PbSe4",
  "functional": "PBE",
  "state": "optimized geometry",
  "cell": [[2.0406, -6.7185, 0.0000], [2.0406, 6.7185, 0.0000], [0.0000, 0.0000, 14.0737]],
  "species": ["Tm", "Tm", "Tm", "Tm", "Pb", "Pb", "Se", "Se", "Se", "Se", "Se", "Se", "Se", "Se"],
  "fractional_positions": [[0.1365, 0.8635, 0.5659], [0.1365, 0.8635, 0.9341], [0.8635, 0.1365, 0.0659], [0.8635, 0.1365, 0.4341], [0.3971, 0.6029, 0.7500], [0.6029, 0.3971, 0.2500], [0.0544, 0.9456, 0.7500], [0.2304, 0.7696, 0.1142], [0.2304, 0.7696, 0.3858], [0.5000, 0.5000, 0.0000], [0.5000, 0.5000, 0.5000], [0.7696, 0.2304, 0.6142], [0.7696, 0.2304, 0.8858], [0.9456, 0.0544, 0.2500]],
  "e_form_raw_ev_per_atom": -1.475,
  "spacegroup": "No. 63"
}

---

{
  "formula": "Tm2PbSe4",
  "functional": "PBE",
  "state": "optimized geometry",
  "cell": [[12.7884, 0.0000, 0.0000], [0.0000, 4.0847, 0.0000], [0.0000, 0.0000, 14.7637]],
  "species": ["Tm", "Tm", "Tm", "Tm", "Tm", "Tm", "Tm", "Tm", "Pb", "Pb", "Pb", "Pb", "Se", "Se", "Se", "Se", "Se", "Se", "Se", "Se", "Se", "Se", "Se", "Se", "Se", "Se", "Se", "Se"],
  "fractional_positions": [[0.0577, 0.2500, 0.1151], [0.0878, 0.2500, 0.5909], [0.4122, 0.7500, 0.0909], [0.4423, 0.7500, 0.6151], [0.5577, 0.2500, 0.3849], [0.5878, 0.2500, 0.9091], [0.9122, 0.7500, 0.4091], [0.9423, 0.7500, 0.8849], [0.2425, 0.7500, 0.8256], [0.2575, 0.2500, 0.3256], [0.7425, 0.7500, 0.6744], [0.7575, 0.2500, 0.1744], [0.0420, 0.7500, 0.7160], [0.0907, 0.2500, 0.9269], [0.1245, 0.7500, 0.4627], [0.2023, 0.7500, 0.1658], [0.2977, 0.2500, 0.6658], [0.3755, 0.2500, 0.9627], [0.4093, 0.7500, 0.4269], [0.4580, 0.2500, 0.2160], [0.5420, 0.7500, 0.7840], [0.5907, 0.2500, 0.5731], [0.6245, 0.7500, 0.0373], [0.7023, 0.7500, 0.3342], [0.7977, 0.2500, 0.8342], [0.8755, 0.2500, 0.5373], [0.9093, 0.7500, 0.0731], [0.9580, 0.2500, 0.2840]],
  "e_form_raw_ev_per_atom": -1.482,
  "spacegroup": "No. 62"
}